# 1
Entry from Alexandria: crystalline Tb2Nd4TmMg at its relaxed geometry (PBE).

Properties
- calculated volume (Å³ per atom) = 32.19
- Fermi-level density of states (states/eV per atom) = 1.324
- uncorrected energy (eV/atom) = -4.29
- crystal system = tetragonal
- space group = P4/mmm, No. 123

Cell: 5.0813 5.0813 9.9736 Å, 90.00 90.00 90.00°
Last column: nearest neighbours and their distance in Å.
Positions (direct):
1 Tb 0.0000 0.0000 0.0000  8 Nd 3.54, 4 Mg 3.59
2 Tb 0.5000 0.5000 0.5000  8 Nd 3.58, 4 Tm 3.59
3 Nd 0.0000 0.5000 0.2471  2 Mg 3.54, 4 Tb 3.54-3.58, 2 Tm 3.58, 4 Nd 3.59
4 Nd 0.0000 0.5000 0.7529  2 Mg 3.54, 4 Tb 3.54-3.58, 2 Tm 3.58, 4 Nd 3.59
5 Nd 0.5000 0.0000 0.2471  2 Mg 3.54, 4 Tb 3.54-3.58, 2 Tm 3.58, 4 Nd 3.59
6 Nd 0.5000 0.0000 0.7529  2 Mg 3.54, 4 Tb 3.54-3.58, 2 Tm 3.58, 4 Nd 3.59
7 Tm 0.0000 0.0000 0.5000  8 Nd 3.58, 4 Tb 3.59
8 Mg 0.5000 0.5000 0.0000  8 Nd 3.54, 4 Tb 3.59



# 2
Entry from Alexandria: crystalline Tb4NdTm2Mg at its relaxed geometry (PBE).

Properties
- calculated volume (Å³ per atom) = 30.93
- Fermi-level density of states (states/eV per atom) = 1.730
- uncorrected energy (eV/atom) = -4.14
- crystal system = tetragonal
- space group = P4/mmm, No. 123

Cell: 5.7599 5.7599 7.4592 Å, 90.00 90.00 90.00°
Last column: nearest neighbours and their distance in Å.
Positions (direct):
1 Tb 0.0000 0.5000 0.2487  2 Mg 3.43, 2 Nd 3.43, 4 Tm 3.44, 2 Tb 3.71-3.75
2 Tb 0.0000 0.5000 0.7513  2 Mg 3.43, 2 Nd 3.43, 4 Tm 3.44, 2 Tb 3.71-3.75
3 Tb 0.5000 0.0000 0.2487  2 Mg 3.43, 2 Nd 3.43, 4 Tm 3.44, 2 Tb 3.71-3.75
4 Tb 0.5000 0.0000 0.7513  2 Mg 3.43, 2 Nd 3.43, 4 Tm 3.44, 2 Tb 3.71-3.75
5 Nd 0.0000 0.0000 0.0000  8 Tb 3.43, 2 Tm 3.73
6 Tm 0.0000 0.0000 0.5000  8 Tb 3.44, 2 Nd 3.73
7 Tm 0.5000 0.5000 0.5000  8 Tb 3.44, 2 Mg 3.73
8 Mg 0.5000 0.5000 0.0000  8 Tb 3.43, 2 Tm 3.73



# 3
Entry from Alexandria: crystalline Tb6NdTm2Mg at its relaxed geometry (PBE).

Properties
- calculated volume (Å³ per atom) = 31.55
- Fermi-level density of states (states/eV per atom) = 1.257
- uncorrected energy (eV/atom) = -4.19
- crystal system = monoclinic
- space group = C2/c, No. 15

Cell: 9.0642 9.0642 8.7326 Å, 90.52 90.52 118.41°
Last column: nearest neighbours and their distance in Å.
Positions (direct):
1 Tb 0.0416 0.4661 0.8050  1 Tm 3.36, 6 Tb 3.37-3.74, 1 Mg 3.37, 1 Nd 3.60
2 Tb 0.1128 0.7934 0.5539  2 Nd 3.28-3.56, 6 Tb 3.36-3.66, 1 Tm 3.39
3 Tb 0.2066 0.8872 0.9461  2 Nd 3.28-3.56, 6 Tb 3.36-3.66, 1 Tm 3.39
4 Tb 0.2684 0.5409 0.4166  2 Mg 3.27-3.45, 3 Tm 3.31-3.60, 4 Tb 3.36-3.43
5 Tb 0.4591 0.7316 0.0834  2 Mg 3.27-3.45, 3 Tm 3.31-3.60, 4 Tb 3.36-3.43
6 Tb 0.4661 0.0416 0.3050  1 Tm 3.36, 6 Tb 3.37-3.74, 1 Mg 3.37, 1 Nd 3.60
7 Tb 0.5339 0.9584 0.6950  1 Tm 3.36, 6 Tb 3.37-3.74, 1 Mg 3.37, 1 Nd 3.60
8 Tb 0.5409 0.2684 0.9166  2 Mg 3.27-3.45, 3 Tm 3.31-3.60, 4 Tb 3.36-3.43
9 Tb 0.7316 0.4591 0.5834  2 Mg 3.27-3.45, 3 Tm 3.31-3.60, 4 Tb 3.36-3.43
10 Tb 0.7934 0.1128 0.0539  2 Nd 3.28-3.56, 6 Tb 3.36-3.66, 1 Tm 3.39
11 Tb 0.8872 0.2066 0.4461  2 Nd 3.28-3.56, 6 Tb 3.36-3.66, 1 Tm 3.39
12 Tb 0.9584 0.5339 0.1950  1 Tm 3.36, 6 Tb 3.37-3.74, 1 Mg 3.37, 1 Nd 3.60
13 Nd 0.0393 0.9607 0.2500  6 Tb 3.28-3.60, 4 Tm 3.33-3.65
14 Nd 0.9607 0.0393 0.7500  6 Tb 3.28-3.60, 4 Tm 3.33-3.65
15 Tm 0.2180 0.3195 0.0599  2 Mg 3.16-3.48, 4 Tb 3.31-3.42, 1 Nd 3.33
16 Tm 0.3195 0.2180 0.5599  2 Mg 3.16-3.48, 4 Tb 3.31-3.42, 1 Nd 3.33
17 Tm 0.6805 0.7820 0.4401  2 Mg 3.16-3.48, 4 Tb 3.31-3.42, 1 Nd 3.33
18 Tm 0.7820 0.6805 0.9401  2 Mg 3.16-3.48, 4 Tb 3.31-3.42, 1 Nd 3.33
19 Mg 0.4437 0.5563 0.7500  4 Tm 3.16-3.48, 6 Tb 3.27-3.45
20 Mg 0.5563 0.4437 0.2500  4 Tm 3.16-3.48, 6 Tb 3.27-3.45



# 4
Entry from Alexandria: crystalline TbNdTmMg at its relaxed geometry (PBE).

Properties
- calculated volume (Å³ per atom) = 30.02
- Fermi-level density of states (states/eV per atom) = 1.107
- uncorrected energy (eV/atom) = -3.84
- crystal system = cubic
- space group = F-43m, No. 216
- distance to the lowest polymorph of the same formula (eV/atom) = 0.047

Cell: 5.5380 5.5380 5.5380 Å, 60.00 60.00 60.00°
Last column: nearest neighbours and their distance in Å.
Positions (direct):
1 Tb 0.0000 0.0000 0.0000  4 Mg 3.39, 4 Tm 3.39
2 Nd 0.5000 0.5000 0.5000  4 Mg 3.39, 4 Tm 3.39
3 Tm 0.2500 0.2500 0.2500  4 Tb 3.39, 4 Nd 3.39
4 Mg 0.7500 0.7500 0.7500  4 Nd 3.39, 4 Tb 3.39



# 5
Entry from Alexandria: crystalline Tb2Nd6TmMg at its relaxed geometry (PBE).

Properties
- calculated volume (Å³ per atom) = 33.32
- Fermi-level density of states (states/eV per atom) = 1.391
- uncorrected energy (eV/atom) = -4.28
- crystal system = monoclinic
- space group = C2/c, No. 15

Cell: 8.8238 8.8238 9.6513 Å, 94.42 94.42 116.30°
Last column: nearest neighbours and their distance in Å.
Positions (direct):
1 Tb 0.1986 0.2957 0.0516  5 Nd 3.17-3.46, 2 Tm 3.36-3.46, 1 Mg 3.50
2 Tb 0.2957 0.1986 0.5516  5 Nd 3.17-3.46, 2 Tm 3.36-3.46, 1 Mg 3.50
3 Tb 0.7043 0.8014 0.4484  5 Nd 3.17-3.46, 2 Tm 3.36-3.46, 1 Mg 3.50
4 Tb 0.8014 0.7043 0.9484  5 Nd 3.17-3.46, 2 Tm 3.36-3.46, 1 Mg 3.50
5 Nd 0.0006 0.5683 0.1944  1 Mg 3.35, 4 Nd 3.40-3.75, 1 Tb 3.44, 1 Tm 3.55
6 Nd 0.1235 0.7613 0.5506  1 Tb 3.46, 7 Nd 3.50-3.84, 2 Tm 3.58-3.87
7 Nd 0.2387 0.8765 0.9494  1 Tb 3.46, 7 Nd 3.50-3.84, 2 Tm 3.58-3.87
8 Nd 0.2951 0.4963 0.3875  3 Tb 3.17-3.42, 2 Mg 3.36-3.49, 3 Nd 3.40-3.51
9 Nd 0.4317 0.9994 0.3056  1 Mg 3.35, 4 Nd 3.40-3.75, 1 Tb 3.44, 1 Tm 3.55
10 Nd 0.4963 0.2951 0.8875  3 Tb 3.17-3.42, 2 Mg 3.36-3.49, 3 Nd 3.40-3.51
11 Nd 0.5037 0.7049 0.1125  3 Tb 3.17-3.42, 2 Mg 3.36-3.49, 3 Nd 3.40-3.51
12 Nd 0.5683 0.0006 0.6944  1 Mg 3.35, 4 Nd 3.40-3.75, 1 Tb 3.44, 1 Tm 3.55
13 Nd 0.7049 0.5037 0.6125  3 Tb 3.17-3.42, 2 Mg 3.36-3.49, 3 Nd 3.40-3.51
14 Nd 0.7613 0.1235 0.0506  1 Tb 3.46, 7 Nd 3.50-3.84, 2 Tm 3.58-3.87
15 Nd 0.8765 0.2387 0.4494  1 Tb 3.46, 7 Nd 3.50-3.84, 2 Tm 3.58-3.87
16 Nd 0.9994 0.4317 0.8056  1 Mg 3.35, 4 Nd 3.40-3.75, 1 Tb 3.44, 1 Tm 3.55
17 Tm 0.0206 0.9794 0.2500  4 Tb 3.36-3.46, 4 Nd 3.55-3.58
18 Tm 0.9794 0.0206 0.7500  4 Tb 3.36-3.46, 4 Nd 3.55-3.58
19 Mg 0.4092 0.5908 0.7500  6 Nd 3.35-3.49, 2 Tb 3.50
20 Mg 0.5908 0.4092 0.2500  6 Nd 3.35-3.49, 2 Tb 3.50



# 6
Entry from Alexandria: crystalline Tb6Nd2Tm3Mg at its relaxed geometry (PBE).

Properties
- calculated volume (Å³ per atom) = 31.24
- Fermi-level density of states (states/eV per atom) = 1.336
- uncorrected energy (eV/atom) = -4.34
- crystal system = monoclinic
- space group = C2/m, No. 12

Cell: 6.1260 6.1260 11.7231 Å, 95.02 95.02 120.05°
Last column: nearest neighbours and their distance in Å.
Positions (direct):
1 Tb 0.0840 0.4155 0.7533  3 Tm 3.50-3.52, 6 Tb 3.52-3.55, 1 Mg 3.56, 2 Nd 3.57
2 Tb 0.2477 0.2477 0.2459  3 Tm 3.49-3.50, 6 Tb 3.52-3.55, 1 Mg 3.57, 2 Nd 3.57
3 Tb 0.4155 0.0840 0.7533  3 Tm 3.50-3.52, 6 Tb 3.52-3.55, 1 Mg 3.56, 2 Nd 3.57
4 Tb 0.5845 0.9160 0.2467  3 Tm 3.50-3.52, 6 Tb 3.52-3.55, 1 Mg 3.56, 2 Nd 3.57
5 Tb 0.7523 0.7523 0.7541  3 Tm 3.49-3.50, 6 Tb 3.52-3.55, 1 Mg 3.57, 2 Nd 3.57
6 Tb 0.9160 0.5845 0.2467  3 Tm 3.50-3.52, 6 Tb 3.52-3.55, 1 Mg 3.56, 2 Nd 3.57
7 Nd 0.3335 0.6665 0.5000  3 Mg 3.53-3.54, 3 Nd 3.53-3.54, 6 Tb 3.57
8 Nd 0.6665 0.3335 0.5000  3 Mg 3.53-3.54, 3 Nd 3.53-3.54, 6 Tb 3.57
9 Tm 0.1657 0.8343 0.0000  6 Tb 3.49-3.52, 6 Tm 3.52-3.55
10 Tm 0.5000 0.5000 0.0000  6 Tb 3.50, 6 Tm 3.53-3.55
11 Tm 0.8343 0.1657 0.0000  6 Tb 3.49-3.52, 6 Tm 3.52-3.55
12 Mg 0.0000 0.0000 0.5000  6 Nd 3.53-3.54, 6 Tb 3.56-3.57



# 7
Entry from Alexandria: crystalline TbNdYMg at its relaxed geometry (PBE).

Properties
- calculated volume (Å³ per atom) = 30.70
- Fermi-level density of states (states/eV per atom) = 1.386
- uncorrected energy (eV/atom) = -4.40
- crystal system = tetragonal
- space group = P4mm, No. 99
- distance to the lowest polymorph of the same formula (eV/atom) = 0.000

Cell: 3.6986 3.6986 8.9763 Å, 90.00 90.00 90.00°
Last column: nearest neighbours and their distance in Å.
Positions (direct):
1 Tb 0.0000 0.0000 0.0000  4 Mg 3.29, 4 Nd 3.61
2 Nd 0.5000 0.5000 0.7235  4 Tb 3.61, 4 Y 3.63, 4 Nd 3.70
3 Y 0.0000 0.0000 0.4436  4 Mg 3.28, 4 Nd 3.63
4 Mg 0.5000 0.5000 0.2226  4 Y 3.28, 4 Tb 3.29



# 8
Entry from Alexandria: crystalline Tb2Nd6YMg at its relaxed geometry (PBE).

Properties
- calculated volume (Å³ per atom) = 33.48
- Fermi-level density of states (states/eV per atom) = 1.314
- uncorrected energy (eV/atom) = -4.48
- crystal system = monoclinic
- space group = C2/c, No. 15

Cell: 9.0348 9.0348 9.3298 Å, 92.38 92.38 118.11°
Last column: nearest neighbours and their distance in Å.
Positions (direct):
1 Tb 0.1823 0.2907 0.4510  5 Nd 3.20-3.46, 1 Y 3.42, 1 Mg 3.46
2 Tb 0.2907 0.1823 0.9510  5 Nd 3.20-3.46, 1 Y 3.42, 1 Mg 3.46
3 Tb 0.7093 0.8177 0.0490  5 Nd 3.20-3.46, 1 Y 3.42, 1 Mg 3.46
4 Tb 0.8177 0.7093 0.5490  5 Nd 3.20-3.46, 1 Y 3.42, 1 Mg 3.46
5 Nd 0.0006 0.7791 0.8947  3 Tb 3.20-3.46, 3 Nd 3.37-3.52, 2 Mg 3.42-3.43
6 Nd 0.0672 0.4948 0.7023  5 Nd 3.37-3.72, 1 Mg 3.40, 1 Tb 3.41, 1 Y 3.58
7 Nd 0.2209 0.9994 0.6053  3 Tb 3.20-3.46, 3 Nd 3.37-3.52, 2 Mg 3.42-3.43
8 Nd 0.2803 0.6358 0.0520  1 Tb 3.43, 7 Nd 3.47-3.72, 2 Y 3.64-3.73
9 Nd 0.3642 0.7197 0.4480  1 Tb 3.43, 7 Nd 3.47-3.72, 2 Y 3.64-3.73
10 Nd 0.4948 0.0672 0.2023  5 Nd 3.37-3.72, 1 Mg 3.40, 1 Tb 3.41, 1 Y 3.58
11 Nd 0.5052 0.9328 0.7977  5 Nd 3.37-3.72, 1 Mg 3.40, 1 Tb 3.41, 1 Y 3.58
12 Nd 0.6358 0.2803 0.5520  1 Tb 3.43, 7 Nd 3.47-3.72, 2 Y 3.64-3.73
13 Nd 0.7197 0.3642 0.9480  1 Tb 3.43, 7 Nd 3.47-3.72, 2 Y 3.64-3.73
14 Nd 0.7791 0.0006 0.3947  3 Tb 3.20-3.46, 3 Nd 3.37-3.52, 2 Mg 3.42-3.43
15 Nd 0.9328 0.5052 0.2977  5 Nd 3.37-3.72, 1 Mg 3.40, 1 Tb 3.41, 1 Y 3.58
16 Nd 0.9994 0.2209 0.1053  3 Tb 3.20-3.46, 3 Nd 3.37-3.52, 2 Mg 3.42-3.43
17 Y 0.4757 0.5243 0.7500  4 Tb 3.42-3.59, 6 Nd 3.58-3.73
18 Y 0.5243 0.4757 0.2500  4 Tb 3.42-3.59, 6 Nd 3.58-3.73
19 Mg 0.0791 0.9209 0.2500  6 Nd 3.40-3.43, 4 Tb 3.46-3.71
20 Mg 0.9209 0.0791 0.7500  6 Nd 3.40-3.43, 4 Tb 3.46-3.71



# 9
Entry from Alexandria: crystalline Tb6Nd2YMg at its relaxed geometry (PBE).

Properties
- calculated volume (Å³ per atom) = 32.22
- Fermi-level density of states (states/eV per atom) = 1.455
- uncorrected energy (eV/atom) = -4.43
- crystal system = monoclinic
- space group = C2/c, No. 15

Cell: 11.0582 11.0582 6.6643 Å, 94.07 94.07 126.79°
Last column: nearest neighbours and their distance in Å.
Positions (direct):
1 Tb 0.0838 0.5609 0.2774  2 Mg 3.36-3.42, 6 Tb 3.37-3.59, 1 Nd 3.51
2 Tb 0.0913 0.7949 0.9717  6 Tb 3.33-3.70, 1 Mg 3.34, 2 Y 3.35-3.49, 1 Nd 3.44
3 Tb 0.2051 0.9087 0.5283  6 Tb 3.33-3.70, 1 Mg 3.34, 2 Y 3.35-3.49, 1 Nd 3.44
4 Tb 0.2944 0.4662 0.0183  1 Mg 3.29, 4 Nd 3.43-3.59, 3 Tb 3.44-3.58
5 Tb 0.4391 0.9162 0.2226  2 Mg 3.36-3.42, 6 Tb 3.37-3.59, 1 Nd 3.51
6 Tb 0.4662 0.2944 0.5183  1 Mg 3.29, 4 Nd 3.43-3.59, 3 Tb 3.44-3.58
7 Tb 0.5338 0.7056 0.4817  1 Mg 3.29, 4 Nd 3.43-3.59, 3 Tb 3.44-3.58
8 Tb 0.5609 0.0838 0.7774  2 Mg 3.36-3.42, 6 Tb 3.37-3.59, 1 Nd 3.51
9 Tb 0.7056 0.5338 0.9817  1 Mg 3.29, 4 Nd 3.43-3.59, 3 Tb 3.44-3.58
10 Tb 0.7949 0.0913 0.4717  6 Tb 3.33-3.70, 1 Mg 3.34, 2 Y 3.35-3.49, 1 Nd 3.44
11 Tb 0.9087 0.2051 0.0283  6 Tb 3.33-3.70, 1 Mg 3.34, 2 Y 3.35-3.49, 1 Nd 3.44
12 Tb 0.9162 0.4391 0.7226  2 Mg 3.36-3.42, 6 Tb 3.37-3.59, 1 Nd 3.51
13 Nd 0.1851 0.3510 0.5043  2 Y 3.41-3.66, 7 Tb 3.43-3.74, 1 Mg 3.55
14 Nd 0.3510 0.1851 0.0043  2 Y 3.41-3.66, 7 Tb 3.43-3.74, 1 Mg 3.55
15 Nd 0.6490 0.8149 0.9957  2 Y 3.41-3.66, 7 Tb 3.43-3.74, 1 Mg 3.55
16 Nd 0.8149 0.6490 0.4957  2 Y 3.41-3.66, 7 Tb 3.43-3.74, 1 Mg 3.55
17 Y 0.0070 0.9930 0.2500  2 Y 3.34, 4 Tb 3.35-3.49, 4 Nd 3.41-3.66
18 Y 0.9930 0.0070 0.7500  2 Y 3.34, 4 Tb 3.35-3.49, 4 Nd 3.41-3.66
19 Mg 0.2946 0.7054 0.7500  8 Tb 3.29-3.42, 2 Nd 3.55
20 Mg 0.7054 0.2946 0.2500  8 Tb 3.29-3.42, 2 Nd 3.55



# 10
Entry from Alexandria: crystalline TbNd2YMg at its relaxed geometry (PBE).

Properties
- calculated volume (Å³ per atom) = 32.60
- Fermi-level density of states (states/eV per atom) = 1.496
- uncorrected energy (eV/atom) = -4.28
- crystal system = orthorhombic
- space group = Pmma, No. 51

Cell: 5.9813 7.5661 7.2041 Å, 90.00 90.00 90.00°
Last column: nearest neighbours and their distance in Å.
Positions (direct):
1 Tb 0.2500 0.0000 0.1556  6 Nd 3.57-3.70, 2 Tb 3.74
2 Tb 0.7500 0.0000 0.8444  6 Nd 3.57-3.70, 2 Tb 3.74
3 Nd 0.2500 0.2136 0.6942  1 Y 3.15, 1 Nd 3.23, 2 Mg 3.43
4 Nd 0.2500 0.7864 0.6942  1 Y 3.15, 1 Nd 3.23, 2 Mg 3.43
5 Nd 0.7500 0.2136 0.3058  1 Y 3.15, 1 Nd 3.23, 2 Mg 3.43
6 Nd 0.7500 0.7864 0.3058  1 Y 3.15, 1 Nd 3.23, 2 Mg 3.43
7 Y 0.2500 0.5000 0.3761  2 Mg 3.09, 2 Nd 3.15
8 Y 0.7500 0.5000 0.6239  2 Mg 3.09, 2 Nd 3.15
9 Mg 0.0000 0.5000 0.0000  2 Mg 2.99, 2 Y 3.09
10 Mg 0.5000 0.5000 0.0000  2 Mg 2.99, 2 Y 3.09



# 11
Entry from Alexandria: crystalline TbNdYMg at its relaxed geometry (PBE).

Properties
- calculated volume (Å³ per atom) = 30.66
- Fermi-level density of states (states/eV per atom) = 1.487
- uncorrected energy (eV/atom) = -4.32
- crystal system = cubic
- space group = F-43m, No. 216
- distance to the lowest polymorph of the same formula (eV/atom) = 0.076

Cell: 5.5768 5.5768 5.5768 Å, 60.00 60.00 60.00°
Last column: nearest neighbours and their distance in Å.
Positions (direct):
1 Tb 0.0000 0.0000 0.0000  4 Nd 3.42, 4 Y 3.42
2 Nd 0.2500 0.2500 0.2500  4 Tb 3.42, 4 Mg 3.42
3 Y 0.7500 0.7500 0.7500  4 Tb 3.42, 4 Mg 3.42
4 Mg 0.5000 0.5000 0.5000  4 Nd 3.42, 4 Y 3.42



# 12
Entry from Alexandria: crystalline Tb6NdY2Mg at its relaxed geometry (PBE).

Properties
- calculated volume (Å³ per atom) = 32.01
- Fermi-level density of states (states/eV per atom) = 1.611
- uncorrected energy (eV/atom) = -4.60
- crystal system = monoclinic
- space group = C2/c, No. 15

Cell: 10.8933 10.8933 6.6683 Å, 94.21 94.21 124.97°
Last column: nearest neighbours and their distance in Å.
Positions (direct):
1 Tb 0.0760 0.7871 0.9623  2 Nd 3.23-3.43, 1 Mg 3.31, 5 Tb 3.34-3.50, 2 Y 3.50-3.61
2 Tb 0.0843 0.5688 0.2838  6 Tb 3.35-3.59, 2 Mg 3.38-3.40, 1 Y 3.52
3 Tb 0.2129 0.9240 0.5377  2 Nd 3.23-3.43, 1 Mg 3.31, 5 Tb 3.34-3.50, 2 Y 3.50-3.61
4 Tb 0.3059 0.4793 0.0236  1 Mg 3.25, 3 Tb 3.42-3.58, 3 Y 3.48-3.53
5 Tb 0.4312 0.9157 0.2162  6 Tb 3.35-3.59, 2 Mg 3.38-3.40, 1 Y 3.52
6 Tb 0.4793 0.3059 0.5236  1 Mg 3.25, 3 Tb 3.42-3.58, 3 Y 3.48-3.53
7 Tb 0.5207 0.6941 0.4764  1 Mg 3.25, 3 Tb 3.42-3.58, 3 Y 3.48-3.53
8 Tb 0.5688 0.0843 0.7838  6 Tb 3.35-3.59, 2 Mg 3.38-3.40, 1 Y 3.52
9 Tb 0.6941 0.5207 0.9764  1 Mg 3.25, 3 Tb 3.42-3.58, 3 Y 3.48-3.53
10 Tb 0.7871 0.0760 0.4623  2 Nd 3.23-3.43, 1 Mg 3.31, 5 Tb 3.34-3.50, 2 Y 3.50-3.61
11 Tb 0.9157 0.4312 0.7162  6 Tb 3.35-3.59, 2 Mg 3.38-3.40, 1 Y 3.52
12 Tb 0.9240 0.2129 0.0377  2 Nd 3.23-3.43, 1 Mg 3.31, 5 Tb 3.34-3.50, 2 Y 3.50-3.61
13 Nd 0.0107 0.9893 0.2500  4 Tb 3.23-3.43, 2 Nd 3.36, 4 Y 3.43-3.59
14 Nd 0.9893 0.0107 0.7500  4 Tb 3.23-3.43, 2 Nd 3.36, 4 Y 3.43-3.59
15 Y 0.1788 0.3455 0.5072  2 Nd 3.43-3.59, 8 Tb 3.48-3.81, 1 Mg 3.59
16 Y 0.3455 0.1788 0.0072  2 Nd 3.43-3.59, 8 Tb 3.48-3.81, 1 Mg 3.59
17 Y 0.6545 0.8212 0.9928  2 Nd 3.43-3.59, 8 Tb 3.48-3.81, 1 Mg 3.59
18 Y 0.8212 0.6545 0.4928  2 Nd 3.43-3.59, 8 Tb 3.48-3.81, 1 Mg 3.59
19 Mg 0.2924 0.7076 0.7500  8 Tb 3.25-3.40, 2 Y 3.59
20 Mg 0.7076 0.2924 0.2500  8 Tb 3.25-3.40, 2 Y 3.59